Record 1
Below is an optimized crystal structure of TlCuBi2, with properties calculated at the PBE-GGA level.

Cell lengths 3.5482, 3.5482, 8.5887 Å; angles 90.00, 90.00, 90.00 degrees
Closest atoms and distances in Å follow each position.
Space group P4/mmm (No. 123)
Unique sites:
Tl  0.0000  0.0000  0.0000 [1 per cell]  4 Tl 3.55, 8 Bi 3.67
Cu  0.0000  0.0000  0.5000 [1 per cell]  8 Bi 2.99
Bi  0.5000  0.5000  0.3117 [2 per cell]  4 Cu 2.99, 1 Bi 3.24

Results
N(E_F), states/eV/cell: 1.38
E, eV per atom: -3.440
DFT formation energy, eV/atom: 0.116
Magnetization, μB per formula unit: 0.0

=====

Record 2
Below is an optimized crystal structure of VIrS2N, with properties calculated at the PBE-GGA level.

Cell lengths 4.4782, 4.4782, 4.9487 Å; angles 90.00, 90.00, 90.00 degrees
Closest atoms and distances in Å follow each position.
Space group P4/mmm (No. 123)
Unique sites:
V  0.0000  0.0000  0.0000 [1 per cell]  2 Ir 2.47
Ir  0.0000  0.0000  0.5000 [1 per cell]  4 S 2.24, 2 V 2.47
S  0.0000  0.5000  0.5000 [2 per cell]  2 Ir 2.24
N  0.5000  0.5000  0.0000 [1 per cell]  4 V 3.17, 8 S 3.34

Results
Relative energy among the computed polymorphs, eV/f.u.: 5.95
N(E_F), states/eV/cell: 9.40
Formation energy without anion corrections, eV/atom: 1.81
E, eV per atom: -5.102
Magnetization, μB per formula unit: 0.6

=====

Record 3
Below is an optimized crystal structure of MnNbW, with properties calculated at the PBE-GGA level.

Cell lengths 4.3867, 4.3867, 2.7365 Å; angles 90.00, 90.00, 120.00 degrees
Closest atoms and distances in Å follow each position.
Space group P3m1 (No. 156)
Unique sites:
Mn  0.0000  0.0000  0.0000 [1 per cell]  3 W 2.67, 3 Nb 2.69, 2 Mn 2.74
Nb  0.3333  0.6667  0.3323 [1 per cell]  3 Mn 2.69, 3 W 2.71, 2 Nb 2.74
W  0.6667  0.3333  0.6875 [1 per cell]  3 Mn 2.67, 3 Nb 2.71, 2 W 2.74

Results
Relative energy among the computed polymorphs, eV/f.u.: 0.17
N(E_F), states/eV/cell: 2.06
E, eV per atom: -10.606
DFT formation energy, eV/atom: 0.125
Magnetization, μB per formula unit: 0.4

=====

Record 4
Below is an optimized crystal structure of B5C7, with properties calculated at the PBE-GGA level.

Cell lengths 11.9919, 2.5542, 5.3204 Å; angles 90.00, 101.84, 90.00 degrees
Closest atoms and distances in Å follow each position.
Space group Cm (No. 8)
Unique sites:
B  0.0000  0.0000  0.0000 [2 per cell]  3 C 1.65, 1 B 1.74
B  0.0802  0.0000  0.3115 [2 per cell]  1 C 1.60, 3 B 1.71-1.74
B  0.1749  0.5000  0.4044 [2 per cell]  1 C 1.55, 2 B 1.71
B  0.2621  0.5000  0.1023 [2 per cell]  3 C 1.59-1.61
B  0.4146  0.0000  0.4765 [2 per cell]  4 C 1.64-1.67
C  0.0067  0.0000  0.5297 [2 per cell]  1 C 1.59, 3 B 1.60-1.67
C  0.0897  0.0000  0.8035 [2 per cell]  3 C 1.55-1.59, 1 B 1.65
C  0.1640  0.5000  0.8446 [2 per cell]  3 C 1.55-1.67, 1 B 1.61
C  0.2626  0.5000  0.6626 [2 per cell]  3 C 1.54-1.67, 1 B 1.55
C  0.3354  0.0000  0.6985 [2 per cell]  3 C 1.54-1.56, 1 B 1.66
C  0.3398  0.0000  0.1817 [2 per cell]  1 C 1.53, 3 B 1.59-1.64
C  0.4114  0.0000  0.9743 [2 per cell]  2 C 1.53-1.56, 2 B 1.65

Results
Relative energy among the computed polymorphs, eV/f.u.: 2.36
N(E_F), states/eV/cell: 5.18
E, eV per atom: -7.709
DFT formation energy, eV/atom: 0.454
Magnetization, μB per formula unit: 0.0

=====

Record 5
Below is an optimized crystal structure of HoErSc, with properties calculated at the PBE-GGA level.

Cell lengths 3.3506, 3.3683, 15.5788 Å; angles 90.00, 90.00, 90.00 degrees
Closest atoms and distances in Å follow each position.
Space group Pmmn (No. 59, origin choice 2)
Unique sites:
Ho  0.2500  0.2500  0.0802 [2 per cell]  8 Ho 3.35-3.45, 2 Er 3.46
Er  0.2500  0.7500  0.2745 [2 per cell]  4 Er 3.35-3.37, 4 Sc 3.36, 2 Ho 3.46
Sc  0.2500  0.7500  0.5730 [2 per cell]  8 Sc 3.29-3.37, 4 Er 3.36

Results
Relative energy among the computed polymorphs, eV/f.u.: 0.37
N(E_F), states/eV/cell: 10.03
E, eV per atom: -4.988
DFT formation energy, eV/atom: 0.169
Magnetization, μB per formula unit: 0.0

=====

Record 6
Below is an optimized crystal structure of Mg2CoOs, with properties calculated at the PBE-GGA level.

Cell lengths 10.0983, 2.7284, 4.8057 Å; angles 90.00, 113.61, 90.00 degrees
Closest atoms and distances in Å follow each position.
Space group Cm (No. 8)
Unique sites:
Mg  0.0000  0.0000  0.0000 [2 per cell]  3 Co 2.72-2.80, 3 Mg 2.73-2.86, 4 Os 2.76-2.84
Mg  0.2109  0.0000  0.6131 [2 per cell]  4 Co 2.67-2.91, 3 Mg 2.73-2.86, 3 Os 2.76-2.81
Co  0.2497  0.5000  0.1169 [2 per cell]  2 Os 2.45, 4 Mg 2.67-2.72, 2 Co 2.73
Os  0.4484  0.0000  0.4664 [2 per cell]  2 Co 2.45, 2 Os 2.73

Results
Relative energy among the computed polymorphs, eV/f.u.: 0.19
N(E_F), states/eV/cell: 6.49
E, eV per atom: -5.232
DFT formation energy, eV/atom: 0.149
Magnetization, μB per formula unit: 0.4